Below is La6Tm2Mg after structural relaxation, with properties calculated at the PBE level.

For the total energy, the calculation gives -79.221 eV/cell. The calculation puts the density at 6.5 g cm⁻³. As for the energy of formation: 0.0547 eV/atom. The value obtained for the density of states at the Fermi level is 1.5572 states/eV per atom.

The structure belongs to space group C2/m (No. 12); the cell edges are 6.432, 17.883 and 5.989 Å and the angles 90.00°, 116.84° and 90.00°. The inequivalent atoms are La at (0.184, 0.158, 0.344), La at (0.201, 0.000, 0.852), Tm at (0.000, 0.324, 0.000) and Mg at (0.000, 0.500, 0.500).